(1)
Computed, not measured: crystalline Ho2TmAg at its relaxed geometry at the GGA-PBE level of DFT.

Cell lengths 6.5896, 6.5913, 6.8456 Å; angles 118.77, 118.77, 90.00 degrees
Closest atoms and distances in Å follow each position.
Fractional coordinates of all 8 atoms:
Ho 0.1815 0.6815 0.4980  2 Ag 3.02-3.04
Ho 0.8185 0.3185 0.5020  2 Ag 3.02-3.04
Ag 0.7498 0.2500 0.0000  4 Ho 3.02-3.04, 4 Tm 3.28-3.31
Tm 0.7475 0.7500 0.0000  4 Ag 3.28-3.31, 8 Ho 3.48
Ho 0.3165 0.1815 0.4980  2 Ag 3.02-3.04
Ho 0.6835 0.8185 0.5020  2 Ag 3.02-3.04
Ag 0.2502 0.7500 0.0000  4 Ho 3.02-3.04, 4 Tm 3.28-3.31
Tm 0.2525 0.2500 0.0000  4 Ag 3.28-3.31, 8 Ho 3.48

Results
raw total energy	-4.24	eV per atom
ΔE_f	-124	meV/atom

=====

(2)
Computed, not measured: crystalline Co3CuSi at its relaxed geometry at the GGA-PBE level of DFT.

Cell lengths 4.2623, 4.2623, 4.2623 Å; angles 90.00, 90.00, 90.00 degrees
Closest atoms and distances in Å follow each position.
Fractional coordinates of all 5 atoms:
Co 0.0000 0.5000 0.0000  2 Cu 2.13
Si 0.5000 0.5000 0.5000  12 Co 3.01
Cu 0.0000 0.0000 0.0000  6 Co 2.13
Co 0.5000 0.0000 0.0000  2 Cu 2.13
Co 0.0000 0.0000 0.5000  2 Cu 2.13

Results
raw total energy	-4.87	eV per atom
ΔE_f (raw)	1.293	eV per atom